SmEr4Hg2 | Alexandria via LeMat-Bulk | GGA-PBE | relaxed; formation enthalpy at 0 K = 0.192 eV/f.u.; ρ = 9.14 Mg/m³
1.0
-4.9840 -0.3965 0.2839
-2.1691 -1.2543 4.3359
-3.0253 9.3220 4.0751
Sm Er Hg
1 4 2
direct
0.5000 0.5000 0.5000
0.7025 0.7025 0.8926
0.8949 0.8949 0.3152
0.2975 0.2975 0.1074
0.1051 0.1051 0.6848
0.6017 0.6017 0.1948
0.3983 0.3983 0.8052